Record 1
# BMoC3 (PBE, relaxed)
data_BMoC3
_chemical_formula_sum 'B1 Mo1 C3'
_symmetry_space_group_name_H-M 'P 1'
_symmetry_Int_Tables_number 1
_cell_length_a 4.0936
_cell_length_b 4.0936
_cell_length_c 4.0936
_cell_angle_alpha 90.00
_cell_angle_beta 90.00
_cell_angle_gamma 90.00
loop_
_symmetry_equiv_pos_as_xyz
'x,y,z'
loop_
_atom_site_label
_atom_site_type_symbol
_atom_site_fract_x
_atom_site_fract_y
_atom_site_fract_z
_atom_site_occupancy
Mo1 Mo 0.0000 0.0000 0.0000 1
B1 B 0.5000 0.5000 0.5000 1
C1 C 0.0000 0.5000 0.0000 1
C2 C 0.0000 0.0000 0.5000 1
C3 C 0.5000 0.0000 0.0000 1
# E above lowest polymorph ... 0.740 eV per atom
# Energy of formation ... 13.97 eV per formula unit
# SG ... Pm-3m
# Density ... 3.456 Mg/m³

=====

Record 2
# Tb5SmY8 (PBE, relaxed)
data_Tb5SmY8
_chemical_formula_sum 'Tb5 Sm1 Y8'
_symmetry_space_group_name_H-M 'P 1'
_symmetry_Int_Tables_number 1
_cell_length_a 8.4671
_cell_length_b 8.4672
_cell_length_c 8.4671
_cell_angle_alpha 111.29
_cell_angle_beta 105.89
_cell_angle_gamma 111.29
loop_
_symmetry_equiv_pos_as_xyz
'x,y,z'
loop_
_atom_site_label
_atom_site_type_symbol
_atom_site_fract_x
_atom_site_fract_y
_atom_site_fract_z
_atom_site_occupancy
Tb1 Tb 0.0362 0.3218 0.1372 1
Tb2 Tb 0.8628 0.8990 0.1846 1
Tb3 Tb 0.8154 0.6782 0.7144 1
Tb4 Tb 0.5000 0.0000 0.5000 1
Tb5 Tb 0.2856 0.1010 0.9638 1
Sm1 Sm 0.2500 0.5000 0.7500 1
Y1 Y 0.1685 0.7405 0.0785 1
Y2 Y 0.9215 0.0899 0.6620 1
Y3 Y 0.7236 0.2506 0.3297 1
Y4 Y 0.6703 0.3939 0.9209 1
Y5 Y 0.5270 0.6061 0.2764 1
Y6 Y 0.5721 0.9101 0.8315 1
Y7 Y 0.3380 0.2595 0.4279 1
Y8 Y 0.0791 0.7494 0.4730 1
# Energy of formation ... 3.40 eV per formula unit
# SG ... I-4
# Density ... 5.903 Mg/m³

=====

Record 3
# Ac2TbPmPr5 (PBE, relaxed)
data_Ac2TbPmPr5
_chemical_formula_sum 'Ac4 Tb2 Pm2 Pr10'
_symmetry_space_group_name_H-M 'P 1'
_symmetry_Int_Tables_number 1
_cell_length_a 5.8885
_cell_length_b 10.8835
_cell_length_c 11.0801
_cell_angle_alpha 90.00
_cell_angle_beta 90.00
_cell_angle_gamma 105.70
loop_
_symmetry_equiv_pos_as_xyz
'x,y,z'
loop_
_atom_site_label
_atom_site_type_symbol
_atom_site_fract_x
_atom_site_fract_y
_atom_site_fract_z
_atom_site_occupancy
Ac1 Ac 0.8816 0.7631 0.8201 1
Ac2 Ac 0.1122 0.2244 0.7333 1
Ac3 Ac 0.1184 0.2369 0.3201 1
Ac4 Ac 0.8878 0.7756 0.2333 1
Tb1 Tb 0.5917 0.1834 0.9656 1
Tb2 Tb 0.4083 0.8166 0.4656 1
Pm1 Pm 0.7931 0.5863 0.5068 1
Pm2 Pm 0.2069 0.4137 0.0068 1
Pr1 Pr 0.3931 0.7862 0.0237 1
Pr2 Pr 0.7176 0.4351 0.8084 1
Pr3 Pr 0.4814 0.9628 0.7433 1
Pr4 Pr 0.2946 0.5893 0.6992 1
Pr5 Pr 0.9807 0.9614 0.5235 1
Pr6 Pr 0.6069 0.2138 0.5237 1
Pr7 Pr 0.2824 0.5649 0.3084 1
Pr8 Pr 0.5186 0.0372 0.2433 1
Pr9 Pr 0.7054 0.4107 0.1992 1
Pr10 Pr 0.0193 0.0386 0.0235 1
# Energy of formation ... 1.13 eV per formula unit
# SG ... Cmc2_1
# Density ... 7.105 Mg/m³

=====

Record 4
# Rb2SnTe4 (PBE, relaxed)
data_Rb2SnTe4
_chemical_formula_sum 'Rb2 Sn1 Te4'
_symmetry_space_group_name_H-M 'P 1'
_symmetry_Int_Tables_number 1
_cell_length_a 4.0805
_cell_length_b 8.9560
_cell_length_c 8.8210
_cell_angle_alpha 108.18
_cell_angle_beta 90.00
_cell_angle_gamma 90.00
loop_
_symmetry_equiv_pos_as_xyz
'x,y,z'
loop_
_atom_site_label
_atom_site_type_symbol
_atom_site_fract_x
_atom_site_fract_y
_atom_site_fract_z
_atom_site_occupancy
Rb1 Rb 0.5000 0.3554 0.7597 1
Rb2 Rb 0.5000 0.7876 0.3833 1
Sn1 Sn 0.0000 0.0707 0.0715 1
Te1 Te 0.5000 0.9745 0.8130 1
Te2 Te 0.0000 0.4619 0.1527 1
Te3 Te 0.5000 0.1686 0.3298 1
Te4 Te 0.0000 0.6812 0.9902 1
# SG ... Pm
# Raw formation energy ... -43.09 kJ per mole of atoms
# Density ... 4.338 Mg/m³

=====

Record 5
# KHgPt2 (PBE, relaxed)
data_KHgPt2
_chemical_formula_sum 'K1 Hg1 Pt2'
_symmetry_space_group_name_H-M 'P 1'
_symmetry_Int_Tables_number 1
_cell_length_a 10.4562
_cell_length_b 10.4562
_cell_length_c 10.4562
_cell_angle_alpha 16.43
_cell_angle_beta 16.43
_cell_angle_gamma 16.43
loop_
_symmetry_equiv_pos_as_xyz
'x,y,z'
loop_
_atom_site_label
_atom_site_type_symbol
_atom_site_fract_x
_atom_site_fract_y
_atom_site_fract_z
_atom_site_occupancy
Hg1 Hg 0.5096 0.5096 0.5096 1
K1 K 0.7450 0.7450 0.7450 1
Pt1 Pt 0.9922 0.9922 0.9922 1
Pt2 Pt 0.2533 0.2533 0.2533 1
# Energy of formation ... 1.12 eV per formula unit
# SG ... R3m
# Density ... 13.115 Mg/m³

=====

Record 6
# ErPuIr (PBE, relaxed)
data_ErPuIr
_chemical_formula_sum 'Er1 Pu1 Ir1'
_symmetry_space_group_name_H-M 'P 1'
_symmetry_Int_Tables_number 1
_cell_length_a 3.2266
_cell_length_b 4.7936
_cell_length_c 4.7936
_cell_angle_alpha 120.00
_cell_angle_beta 90.00
_cell_angle_gamma 90.00
loop_
_symmetry_equiv_pos_as_xyz
'x,y,z'
loop_
_atom_site_label
_atom_site_type_symbol
_atom_site_fract_x
_atom_site_fract_y
_atom_site_fract_z
_atom_site_occupancy
Er1 Er 0.0179 0.0000 0.0000 1
Ir1 Ir 0.3550 0.6667 0.3333 1
Pu1 Pu 0.6271 0.3333 0.6667 1
# E above lowest polymorph ... 0.237 eV per atom
# Energy of formation ... -0.78 eV per formula unit
# SG ... P3m1
# Density ... 15.607 Mg/m³

=====

Record 7
# Tl2RuS (PBE, relaxed)
data_Tl2RuS
_chemical_formula_sum 'Tl4 Ru2 S2'
_symmetry_space_group_name_H-M 'P 1'
_symmetry_Int_Tables_number 1
_cell_length_a 6.2938
_cell_length_b 6.2938
_cell_length_c 7.6118
_cell_angle_alpha 65.58
_cell_angle_beta 65.58
_cell_angle_gamma 90.00
loop_
_symmetry_equiv_pos_as_xyz
'x,y,z'
loop_
_atom_site_label
_atom_site_type_symbol
_atom_site_fract_x
_atom_site_fract_y
_atom_site_fract_z
_atom_site_occupancy
Ru1 Ru 0.0000 0.0000 0.0000 1
Ru2 Ru 0.7500 0.2500 0.5000 1
Tl1 Tl 0.6389 0.1250 0.2500 1
Tl2 Tl 0.1111 0.6250 0.2500 1
Tl3 Tl 0.3750 0.3611 0.7500 1
Tl4 Tl 0.8750 0.8889 0.7500 1
S1 S 0.5000 0.5000 0.0000 1
S2 S 0.2500 0.7500 0.5000 1
# E above lowest polymorph ... 0.000 eV per atom
# SG ... I-42d
# Raw formation energy ... 71.45 kJ per mole of atoms
# Density ... 7.357 Mg/m³

=====

Record 8
# PuMgSnPb (PBE, relaxed)
data_PuMgSnPb
_chemical_formula_sum 'Pu1 Mg1 Sn1 Pb1'
_symmetry_space_group_name_H-M 'P 1'
_symmetry_Int_Tables_number 1
_cell_length_a 4.4643
_cell_length_b 4.8354
_cell_length_c 4.7757
_cell_angle_alpha 90.00
_cell_angle_beta 90.00
_cell_angle_gamma 90.00
loop_
_symmetry_equiv_pos_as_xyz
'x,y,z'
loop_
_atom_site_label
_atom_site_type_symbol
_atom_site_fract_x
_atom_site_fract_y
_atom_site_fract_z
_atom_site_occupancy
Pu1 Pu 0.5000 0.0000 0.5000 1
Mg1 Mg 0.5000 0.5000 0.0000 1
Sn1 Sn 0.0000 0.0000 0.0000 1
Pb1 Pb 0.0000 0.5000 0.5000 1
# E above lowest polymorph ... 0.000 eV per atom
# Energy of formation ... -1.00 eV per formula unit
# SG ... Pmmm
# Density ... 9.571 Mg/m³

=====

Record 9
# CaScMo2 (PBE, relaxed)
data_CaScMo2
_chemical_formula_sum 'Ca1 Sc1 Mo2'
_symmetry_space_group_name_H-M 'P 1'
_symmetry_Int_Tables_number 1
_cell_length_a 2.8260
_cell_length_b 2.8260
_cell_length_c 9.8343
_cell_angle_alpha 90.00
_cell_angle_beta 90.00
_cell_angle_gamma 96.44
loop_
_symmetry_equiv_pos_as_xyz
'x,y,z'
loop_
_atom_site_label
_atom_site_type_symbol
_atom_site_fract_x
_atom_site_fract_y
_atom_site_fract_z
_atom_site_occupancy
Sc1 Sc 0.5000 0.5000 0.2500 1
Mo1 Mo 0.0000 0.0000 0.0168 1
Mo2 Mo 0.0000 0.0000 0.4832 1
Ca1 Ca 0.5000 0.5000 0.7500 1
# E above lowest polymorph ... 0.323 eV per atom
# Energy of formation ... 2.12 eV per formula unit
# SG ... Cmmm
# Density ... 5.892 Mg/m³

=====

Record 10
# Mn2V4Os (PBE, relaxed)
data_Mn2V4Os
_chemical_formula_sum 'Mn2 V4 Os1'
_symmetry_space_group_name_H-M 'P 1'
_symmetry_Int_Tables_number 1
_cell_length_a 4.5663
_cell_length_b 4.5663
_cell_length_c 6.9616
_cell_angle_alpha 70.85
_cell_angle_beta 70.85
_cell_angle_gamma 90.00
loop_
_symmetry_equiv_pos_as_xyz
'x,y,z'
loop_
_atom_site_label
_atom_site_type_symbol
_atom_site_fract_x
_atom_site_fract_y
_atom_site_fract_z
_atom_site_occupancy
Mn1 Mn 0.3887 0.3887 0.2226 1
Mn2 Mn 0.6113 0.6113 0.7774 1
Os1 Os 0.0000 0.0000 0.0000 1
V1 V 0.1976 0.1976 0.6048 1
V2 V 0.8024 0.8024 0.3952 1
V3 V 0.0000 0.5000 0.0000 1
V4 V 0.5000 0.0000 0.0000 1
# E above lowest polymorph ... 1.100 eV per atom
# Energy of formation ... 7.13 eV per formula unit
# SG ... I4/mmm
# Density ... 6.506 Mg/m³

=====

Record 11
# LiMnCr3 (PBE, relaxed)
data_LiMnCr3
_chemical_formula_sum 'Li1 Mn1 Cr3'
_symmetry_space_group_name_H-M 'P 1'
_symmetry_Int_Tables_number 1
_cell_length_a 4.2339
_cell_length_b 4.2339
_cell_length_c 4.2339
_cell_angle_alpha 90.00
_cell_angle_beta 90.00
_cell_angle_gamma 90.00
loop_
_symmetry_equiv_pos_as_xyz
'x,y,z'
loop_
_atom_site_label
_atom_site_type_symbol
_atom_site_fract_x
_atom_site_fract_y
_atom_site_fract_z
_atom_site_occupancy
Cr1 Cr 0.0000 0.5000 0.0000 1
Cr2 Cr 0.0000 0.0000 0.5000 1
Cr3 Cr 0.5000 0.0000 0.0000 1
Mn1 Mn 0.0000 0.0000 0.0000 1
Li1 Li 0.5000 0.5000 0.5000 1
# E above lowest polymorph ... 0.000 eV per atom
# Energy of formation ... 5.77 eV per formula unit
# SG ... Pm-3m
# Density ... 4.767 Mg/m³

=====

Record 12
# AsRu2W (PBE, relaxed)
data_AsRu2W
_chemical_formula_sum 'As1 Ru2 W1'
_symmetry_space_group_name_H-M 'P 1'
_symmetry_Int_Tables_number 1
_cell_length_a 5.1674
_cell_length_b 5.1674
_cell_length_c 5.1674
_cell_angle_alpha 146.81
_cell_angle_beta 128.87
_cell_angle_gamma 62.32
loop_
_symmetry_equiv_pos_as_xyz
'x,y,z'
loop_
_atom_site_label
_atom_site_type_symbol
_atom_site_fract_x
_atom_site_fract_y
_atom_site_fract_z
_atom_site_occupancy
Ru1 Ru 0.0258 0.0258 0.0000 1
Ru2 Ru 0.4742 0.4742 0.0000 1
As1 As 0.2500 0.7500 0.5000 1
W1 W 0.7500 0.2500 0.5000 1
# Energy of formation ... 0.29 eV per formula unit
# SG ... Immm
# Density ... 13.150 Mg/m³

=====

| no. | total energy (eV/atom) | total magnetic moment (μB/f.u.) |
| --- | --- | --- |
| 1 | -6.243 | 0.00 |
| 2 | -5.441 | 0.00 |
| 3 | -4.485 | 0.00 |
| 4 | -3.090 | 0.00 |
| 5 | -3.090 | 0.00 |
| 6 | -9.511 | 5.53 |
| 7 | -3.793 | 0.00 |
| 8 | -6.161 | 5.73 |
| 9 | -6.969 | 0.00 |
| 10 | -8.416 | 0.97 |
| 11 | -6.836 | 0.01 |
| 12 | -8.967 | 0.00 |